1.
Density functional theory data (PBE) for a relaxed structure of Cs2UTlS5.

Cell lengths 10.3347, 10.3347, 14.8358 Å; angles 90.00, 90.00, 156.84 degrees
Element x y z (fractional)
Cs 0.1157 0.8843 0.5000
Cs 0.1334 0.8666 0.1352
Cs 0.8666 0.1334 0.6352
Cs 0.8843 0.1157 0.0000
U 0.2065 0.7935 0.8403
U 0.7935 0.2065 0.3403
Tl 0.4392 0.5608 0.2538
Tl 0.5608 0.4392 0.7538
S 0.0704 0.9296 0.8636
S 0.2919 0.7081 0.4516
S 0.3055 0.6945 0.2217
S 0.3264 0.6736 0.8229
S 0.4968 0.5032 0.1132
S 0.5032 0.4968 0.6132
S 0.6736 0.3264 0.3229
S 0.6945 0.3055 0.7217
S 0.7081 0.2919 0.9516
S 0.9296 0.0704 0.3636

Computed properties:
As for the uncorrected energy: -89.88 eV per cell. As for the uncorrected formation energy: -0.993 eV/atom. As for the space group: Cmc2_1. For the spin magnetization, the calculation gives 0.111 μB per atom. The density of states at the Fermi level is 0.479 states/eV/atom.

---

2.
Density functional theory data (PBE) for a relaxed structure of MgOs2Br.

Cell lengths 4.7515, 4.7515, 4.7515 Å; angles 127.37, 127.37, 77.65 degrees
Element x y z (fractional)
Mg 0.0000 0.0000 0.0000
Os 0.2500 0.7500 0.5000
Os 0.5000 0.5000 0.0000
Br 0.7500 0.2500 0.5000

Computed properties:
As for the uncorrected energy: -21.38 eV per cell. As for the uncorrected formation energy: 1.087 eV/atom. As for the space group: I-4m2. For the spin magnetization, the calculation gives 0.001 μB per atom. The density of states at the Fermi level is 1.318 states/eV/atom.

---

3.
Density functional theory data (PBE) for a relaxed structure of LiPm2Ho.

Cell lengths 5.5577, 5.5577, 5.5577 Å; angles 60.00, 60.00, 60.00 degrees
Element x y z (fractional)
Li 0.0000 0.0000 0.0000
Pm 0.2500 0.2500 0.2500
Pm 0.7500 0.7500 0.7500
Ho 0.5000 0.5000 0.5000

Computed properties:
As for the uncorrected energy: -15.35 eV per cell. As for the space group: Fm-3m. The formation energy comes out at 0.64 eV per formula unit. For the spin magnetization, the calculation gives 0.000 μB per atom. The density of states at the Fermi level is 1.128 states/eV/atom.

---

4.
Density functional theory data (PBE) for a relaxed structure of ScHgCl2.

Cell lengths 5.2008, 5.2008, 5.2008 Å; angles 125.79, 125.79, 80.24 degrees
Element x y z (fractional)
Sc 0.0000 0.0000 0.0000
Hg 0.5000 0.5000 0.0000
Cl 0.2500 0.7500 0.5000
Cl 0.7500 0.2500 0.5000

Computed properties:
As for the uncorrected energy: -13.38 eV per cell. As for the uncorrected formation energy: -0.764 eV/atom. As for the space group: I4/mmm. For the spin magnetization, the calculation gives 0.246 μB per atom. The density of states at the Fermi level is 0.570 states/eV/atom.

---

5.
Density functional theory data (PBE) for a relaxed structure of RePd5Pt2.

Cell lengths 5.5887, 11.1711, 3.9096 Å; angles 90.00, 90.00, 90.00 degrees
Element x y z (fractional)
Re 0.0000 0.0000 0.0000
Re 0.5000 0.5000 0.0000
Pd 0.0000 0.5000 0.0000
Pd 0.0040 0.2449 0.0000
Pd 0.2482 0.6241 0.5000
Pd 0.2518 0.1241 0.5000
Pd 0.4960 0.7449 0.0000
Pd 0.5000 0.0000 0.0000
Pd 0.5040 0.2551 0.0000
Pd 0.7482 0.8759 0.5000
Pd 0.7518 0.3759 0.5000
Pd 0.9960 0.7551 0.0000
Pt 0.2392 0.8813 0.5000
Pt 0.2608 0.3813 0.5000
Pt 0.7392 0.6187 0.5000
Pt 0.7608 0.1187 0.5000

Computed properties:
As for the uncorrected energy: -101.45 eV per cell. As for the space group: Pbam. The formation energy comes out at -0.23 eV per formula unit. For the spin magnetization, the calculation gives 0.000 μB per atom. The density of states at the Fermi level is 1.076 states/eV/atom.

---

6.
Density functional theory data (PBE) for a relaxed structure of PPbBr.

Cell lengths 4.1832, 4.1832, 5.7263 Å; angles 90.00, 90.00, 120.00 degrees
Element x y z (fractional)
P 0.0000 0.0000 0.0000
Pb 0.6667 0.3333 0.1997
Br 0.3333 0.6667 0.5748

Computed properties:
As for the uncorrected energy: -10.46 eV per cell. As for the uncorrected formation energy: 0.110 eV/atom. As for the space group: P3m1. For the spin magnetization, the calculation gives 0.000 μB per atom. The density of states at the Fermi level is 0.494 states/eV/atom.

---

7.
Density functional theory data (PBE) for a relaxed structure of Y3Si8Pd3.

Cell lengths 7.8164, 7.8164, 8.8452 Å; angles 118.49, 118.49, 31.25 degrees
Element x y z (fractional)
Y 0.0000 0.0000 0.0000
Y 0.3021 0.3021 0.3506
Y 0.6979 0.6979 0.6494
Si 0.1131 0.1131 0.3765
Si 0.1352 0.1352 0.8437
Si 0.3660 0.3660 0.7380
Si 0.4769 0.4769 0.2727
Si 0.5231 0.5231 0.7273
Si 0.6340 0.6340 0.2620
Si 0.8648 0.8648 0.1563
Si 0.8869 0.8869 0.6235
Pd 0.0000 0.0000 0.5000
Pd 0.3224 0.3224 0.9660
Pd 0.6776 0.6776 0.0340

Computed properties:
As for the uncorrected energy: -86.38 eV per cell. As for the uncorrected formation energy: -0.573 eV/atom. As for the space group: C2/m. For the spin magnetization, the calculation gives 0.000 μB per atom. The density of states at the Fermi level is 0.446 states/eV/atom.

---

8.
Density functional theory data (PBE) for a relaxed structure of U3TaTl2O12.

Cell lengths 7.7290, 7.7290, 7.7290 Å; angles 61.76, 61.76, 61.76 degrees
Element x y z (fractional)
U 0.0000 0.5000 0.5000
U 0.5000 0.0000 0.5000
U 0.5000 0.5000 0.0000
Ta 0.5000 0.5000 0.5000
Tl 0.1665 0.1665 0.1665
Tl 0.8335 0.8335 0.8335
O 0.1820 0.1820 0.5517
O 0.1820 0.5517 0.1820
O 0.1994 0.5594 0.5594
O 0.4406 0.4406 0.8006
O 0.4406 0.8006 0.4406
O 0.4483 0.8180 0.8180
O 0.5517 0.1820 0.1820
O 0.5594 0.1994 0.5594
O 0.5594 0.5594 0.1994
O 0.8006 0.4406 0.4406
O 0.8180 0.4483 0.8180
O 0.8180 0.8180 0.4483

Computed properties:
As for the uncorrected energy: -158.59 eV per cell. As for the uncorrected formation energy: -2.703 eV/atom. As for the space group: R-3m. For the spin magnetization, the calculation gives 0.056 μB per atom. The density of states at the Fermi level is 0.455 states/eV/atom.

---

9.
Density functional theory data (PBE) for a relaxed structure of CaAlCo.

Cell lengths 4.1016, 4.1016, 4.2489 Å; angles 90.00, 90.00, 120.00 degrees
Element x y z (fractional)
Ca 0.0000 0.0000 0.0000
Al 0.3333 0.6667 0.5000
Co 0.6667 0.3333 0.5000

Computed properties:
As for the uncorrected energy: -12.95 eV per cell. As for the space group: P-6m2. The formation energy comes out at -0.10 eV per formula unit. For the spin magnetization, the calculation gives 0.000 μB per atom. The density of states at the Fermi level is 0.754 states/eV/atom.

---

10.
Density functional theory data (PBE) for a relaxed structure of Rb3RhO2.

Cell lengths 8.4886, 8.4886, 8.4886 Å; angles 135.35, 60.69, 141.09 degrees
Element x y z (fractional)
Rb 0.1825 0.6879 0.8704
Rb 0.2500 0.2500 0.0000
Rb 0.3175 0.1879 0.5055
Rb 0.6825 0.8121 0.4945
Rb 0.7500 0.7500 0.0000
Rb 0.8175 0.3121 0.1296
Rh 0.2500 0.7500 0.5000
Rh 0.7500 0.2500 0.5000
O 0.1057 0.3060 0.4117
O 0.3943 0.8060 0.2003
O 0.6057 0.1940 0.7997
O 0.8943 0.6940 0.5883

Computed properties:
As for the uncorrected energy: -44.90 eV per cell. As for the uncorrected formation energy: -0.380 eV/atom. As for the space group: Ibam. For the spin magnetization, the calculation gives 0.333 μB per atom. The density of states at the Fermi level is 0.099 states/eV/atom.

---

11.
Density functional theory data (PBE) for a relaxed structure of Hf5Sc2Fe2.

Cell lengths 8.0024, 8.0024, 6.6162 Å; angles 90.00, 90.00, 58.77 degrees
Element x y z (fractional)
Hf 0.0000 0.0000 0.0000
Hf 0.1034 0.6678 0.7050
Hf 0.1678 0.6034 0.2050
Hf 0.3322 0.8966 0.7050
Hf 0.3966 0.8322 0.2050
Hf 0.5000 0.5000 0.5000
Hf 0.6034 0.1678 0.7950
Hf 0.6678 0.1034 0.2950
Hf 0.8322 0.3966 0.7950
Hf 0.8966 0.3322 0.2950
Sc 0.2436 0.2436 0.0000
Sc 0.2564 0.2564 0.5000
Sc 0.7436 0.7436 0.5000
Sc 0.7564 0.7564 0.0000
Fe 0.1078 0.8922 0.3931
Fe 0.3922 0.6078 0.8931
Fe 0.6078 0.3922 0.1069
Fe 0.8922 0.1078 0.6069

Computed properties:
As for the uncorrected energy: -158.32 eV per cell. As for the space group: Cmce. The formation energy comes out at 0.19 eV per formula unit. For the spin magnetization, the calculation gives 0.000 μB per atom. The density of states at the Fermi level is 1.102 states/eV/atom.

---

12.
Density functional theory data (PBE) for a relaxed structure of LiTaSnS2.

Cell lengths 5.0865, 5.0865, 4.7021 Å; angles 90.00, 90.00, 90.00 degrees
Element x y z (fractional)
Li 0.0000 0.0000 0.0000
Ta 0.5000 0.5000 0.0000
Sn 0.0000 0.0000 0.5000
S 0.0000 0.5000 0.5000
S 0.5000 0.0000 0.5000

Computed properties:
As for the uncorrected energy: -20.32 eV per cell. As for the uncorrected formation energy: 1.141 eV/atom. As for the space group: P4/mmm. For the spin magnetization, the calculation gives 0.580 μB per atom. The density of states at the Fermi level is 1.028 states/eV/atom.